# PBE-GGA Sm4Se5, optimized geometry
# spin magnetization: 3.3 Bohr magnetons per cell
# electronic total energy: -5.26 eV per atom
# uncorrected formation energy: -1229 meV/atom
# crystal system: tetragonal
# calculated volume: 551 Å³ per cell
data_Sm4Se5
_cell_length_a 12.175
_cell_length_b 12.175
_cell_length_c 3.720
_cell_angle_alpha 90.00
_cell_angle_beta 90.00
_cell_angle_gamma 90.00
_symmetry_space_group_name_H-M 'I 4/m m m'
_symmetry_Int_Tables_number 139
_symmetry_space_group_name_Hall '-I 4 2'
loop_
_atom_site_label
_atom_site_fract_x
_atom_site_fract_y
_atom_site_fract_z
_atom_site_occupancy
Sm1 0.148 0.148 0.000 1
Se1 0.000 0.000 0.500 1
Se2 0.000 0.275 0.500 1

# PBE-GGA Nb2SiPdF, optimized geometry
# spin magnetization: 0.7 Bohr magnetons per cell
# electronic total energy: -6.29 eV per atom
# uncorrected formation energy: 238 meV/atom
# crystal system: tetragonal
# calculated volume: 88 Å³ per cell
data_Nb2SiPdF
_cell_length_a 4.992
_cell_length_b 4.992
_cell_length_c 3.532
_cell_angle_alpha 90.00
_cell_angle_beta 90.00
_cell_angle_gamma 90.00
_symmetry_space_group_name_H-M 'P 4/m m m'
_symmetry_Int_Tables_number 123
_symmetry_space_group_name_Hall '-P 4 2'
loop_
_atom_site_label
_atom_site_fract_x
_atom_site_fract_y
_atom_site_fract_z
_atom_site_occupancy
Nb1 0.000 0.500 0.000 1
Si1 0.000 0.000 0.000 1
Pd1 0.500 0.500 0.500 1
F1 0.000 0.000 0.500 1